## Cs3CaTl3Cl8 (PBE)

Data for a relaxed structure of Cs3CaTl3Cl8.

Computed properties:
Uncorrected energy   -0.25317 Ry per atom
Space-group type   No. 166
Formation energy without anion corrections   -162 kJ per mole of atoms

Unit cell a=9.3151 b=9.3194 c=9.6271 alpha=118.98 beta=90.00 gamma=119.98
With the nearest neighbours (Å) after each atom.
Positions (direct):
Cl (0.7912, 0.5825, 0.3016)  1 Ca 2.79
Cl (0.2568, 0.5135, 0.2710)  3 Tl 3.25, 3 Cs 3.45
Cl (0.2087, 0.9894, 0.6979)  1 Ca 2.79
Cl (0.7432, 0.4865, 0.7290)  3 Tl 3.25, 3 Cs 3.45
Cl (0.2193, 0.0106, 0.3021)  1 Ca 2.79
Cl (0.7913, 0.0106, 0.3021)  1 Ca 2.79
Cl (0.2088, 0.4175, 0.6984)  1 Ca 2.79
Cl (0.7807, 0.9894, 0.6979)  1 Ca 2.79
Ca (0.0000, 0.0000, 0.5000)  6 Cl 2.79
Cs (0.0000, 0.0000, 0.0000)  6 Cl 3.45-3.49
Cs (0.5000, 0.5000, 0.0000)  6 Cl 3.45-3.49
Cs (0.0000, 0.5000, 0.0000)  6 Cl 3.45-3.49
Tl (0.5000, 0.5000, 0.5000)  6 Cl 3.25-3.31
Tl (0.0000, 0.5000, 0.5000)  6 Cl 3.25-3.31
Tl (0.5000, 0.0000, 0.5000)  6 Cl 3.25-3.30



## ErZn2Pd9 (PBE)

Data for a relaxed structure of ErZn2Pd9.

Computed properties:
Uncorrected energy   -0.36565 Ry per atom
Space-group type   No. 123
Energy relative to the elements   -488 meV per atom

Unit cell a=4.0056 b=4.0056 c=11.8023 alpha=90.00 beta=90.00 gamma=90.00
With the nearest neighbours (Å) after each atom.
Positions (direct):
Pd (0.5000, 0.0000, 0.5000)  4 Zn 2.74, 8 Pd 2.76-2.83
Pd (0.0000, 0.5000, 0.8210)  8 Pd 2.75-2.91, 2 Zn 2.78, 2 Er 2.91
Pd (0.0000, 0.5000, 0.1790)  8 Pd 2.75-2.91, 2 Zn 2.78, 2 Er 2.91
Pd (0.5000, 0.0000, 0.1790)  8 Pd 2.75-2.91, 2 Zn 2.78, 2 Er 2.91
Pd (0.5000, 0.5000, 0.6615)  8 Pd 2.75-2.76, 4 Zn 2.83
Pd (0.5000, 0.5000, 0.0000)  4 Er 2.83, 8 Pd 2.91
Pd (0.5000, 0.5000, 0.3385)  8 Pd 2.75-2.76, 4 Zn 2.83
Pd (0.0000, 0.5000, 0.5000)  4 Zn 2.74, 8 Pd 2.76-2.83
Pd (0.5000, 0.0000, 0.8210)  8 Pd 2.75-2.91, 2 Zn 2.78, 2 Er 2.91
Zn (0.0000, 0.0000, 0.3419)  12 Pd 2.74-2.83
Zn (0.0000, 0.0000, 0.6581)  12 Pd 2.74-2.83
Er (0.0000, 0.0000, 0.0000)  12 Pd 2.83-2.91



## Nb3Ga4Ru (PBE)

Data for a relaxed structure of Nb3Ga4Ru.

Computed properties:
Uncorrected energy   -0.48919 Ry per atom
Space-group type   No. 31
Energy relative to the elements   -207 meV per atom

Unit cell a=5.5403 b=5.5949 c=8.3550 alpha=90.00 beta=90.00 gamma=90.00
With the nearest neighbours (Å) after each atom.
Positions (direct):
Nb (0.1844, 0.7378, 0.2558)  8 Ga 2.76-3.02, 2 Ru 2.77-3.06, 2 Nb 2.83-2.86
Nb (0.6844, 0.2622, 0.2442)  8 Ga 2.76-3.02, 2 Ru 2.77-3.06, 2 Nb 2.83-2.86
Nb (0.9441, 0.4699, 0.5000)  8 Ga 2.74-2.95, 4 Nb 2.83-2.86
Nb (0.4441, 0.5301, 0.0000)  8 Ga 2.74-2.95, 4 Nb 2.83-2.86
Nb (0.1844, 0.7378, 0.7442)  8 Ga 2.76-3.02, 2 Ru 2.77-3.06, 2 Nb 2.83-2.86
Nb (0.6844, 0.2622, 0.7558)  8 Ga 2.76-3.02, 2 Ru 2.77-3.06, 2 Nb 2.83-2.86
Ru (0.4484, 0.0519, 0.5000)  8 Ga 2.66-2.94, 2 Nb 2.77
Ru (0.9484, 0.9481, 0.0000)  8 Ga 2.66-2.94, 2 Nb 2.77
Ga (0.1841, 0.2390, 0.2387)  3 Ga 2.73-2.95, 6 Nb 2.77-2.95, 2 Ru 2.83-2.89
Ga (0.6841, 0.7610, 0.2613)  3 Ga 2.73-2.95, 6 Nb 2.77-2.95, 2 Ru 2.83-2.89
Ga (0.1841, 0.2390, 0.7613)  3 Ga 2.73-2.95, 6 Nb 2.77-2.95, 2 Ru 2.83-2.89
Ga (0.9418, 0.9794, 0.5000)  4 Ga 2.74-2.95, 6 Nb 2.74-3.02, 2 Ru 2.76-2.84
Ga (0.6841, 0.7610, 0.7387)  3 Ga 2.73-2.95, 6 Nb 2.77-2.95, 2 Ru 2.83-2.89
Ga (0.9440, 0.4729, 0.0000)  2 Ru 2.66-2.94, 2 Ga 2.73, 6 Nb 2.76-2.92
Ga (0.4440, 0.5271, 0.5000)  2 Ru 2.66-2.94, 2 Ga 2.73, 6 Nb 2.76-2.92
Ga (0.4418, 0.0206, 0.0000)  4 Ga 2.74-2.95, 6 Nb 2.74-3.02, 2 Ru 2.76-2.84